An optimized crystal structure of Ho5Tm2Th. Source: Alexandria via LeMat-Bulk, functional GGA-PBE.

```
data_Ho5Tm2Th
_cell_length_a 7.0322
_cell_length_b 14.4491
_cell_length_c 9.8990
_cell_angle_alpha 90.00
_cell_angle_beta 90.00
_cell_angle_gamma 148.40
_symmetry_space_group_name_H-M 'P 1'
_symmetry_Int_Tables_number 1
_symmetry_space_group_name_Hall 'P 1'
loop_
_atom_site_label
_atom_site_type_symbol
_atom_site_fract_x
_atom_site_fract_y
_atom_site_fract_z
Ho1 Ho 0.4878 0.2773 0.2500
Ho2 Ho 0.5122 0.7227 0.7500
Tm1 Tm 0.8534 0.6328 0.4076
Ho3 Ho 0.6333 0.3645 0.9079
Tm2 Tm 0.8534 0.6328 0.0924
Ho4 Ho 0.7450 0.9987 0.4776
Tm3 Tm 0.1466 0.3672 0.5924
Ho5 Ho 0.2550 0.0013 0.9776
Tm4 Tm 0.1466 0.3672 0.9076
Ho6 Ho 0.3667 0.6355 0.0921
Th1 Th 0.0054 0.2869 0.2500
Ho7 Ho 0.3667 0.6355 0.4079
Ho8 Ho 0.6333 0.3645 0.5921
Ho9 Ho 0.7450 0.9987 0.0224
Ho10 Ho 0.2550 0.0013 0.5224
Th2 Th 0.9946 0.7131 0.7500
```

Properties
energy relative to the lowest polymorph listed for this composition: 240 meV/atom
total energy: -74.24 eV per cell
energy relative to the elements: 2.13 eV per formula unit
space group: P2_1/m (11)